Density functional theory data (PBE) for a relaxed structure of LiCuW2.

## Properties
V (A^3/atom): 14.75
Distance to the lowest polymorph of the same formula (meV per atom): 205
Magnetization (μB per atom): 0.0000
Energy of formation (meV per atom): 450

Lattice parameters (Å, degrees): 3.227 3.227 5.666 90.00 90.00 90.00
Element x y z (fractional)
W1 0.500 0.500 0.238
Li1 0.500 0.500 0.731
Cu1 0.000 0.000 0.521
W2 0.000 0.000 0.010

Density functional theory data (PBE) for a relaxed structure of YCuNiGe2.

## Properties
V (A^3/atom): 16.67
Distance to the lowest polymorph of the same formula (meV per atom): 0
Magnetization (μB per atom): 0.0000
Energy of formation (meV per atom): -594

Lattice parameters (Å, degrees): 4.064 4.064 5.808 110.48 110.48 90.00
Element x y z (fractional)
Y1 0.000 0.000 0.000
Ni1 0.750 0.250 0.500
Ge1 0.624 0.624 0.247
Cu1 0.250 0.750 0.500
Ge2 0.376 0.376 0.753

Density functional theory data (PBE) for a relaxed structure of Li4CeEr3S8.

## Properties
V (A^3/atom): 20.56
Magnetization (μB per atom): 0.0599
Formation energy (no corrections) (kJ per mole of atoms): -175.2

Lattice parameters (Å, degrees): 7.847 7.657 7.846 120.84 120.00 90.00
Each line ends with the local moment (μB).
Element x y z (fractional)
Er1 0.500 0.500 0.000  0.01
S1 0.258 0.248 0.003  -0.01
Li1 0.000 0.000 0.500  0.00
Li2 0.500 0.000 0.000  0.00
Li3 0.500 0.000 0.500  0.00
S2 0.251 0.252 0.501  0.00
S3 0.745 0.248 0.003  -0.01
Er2 0.500 0.500 0.500  0.01
Li4 0.000 0.000 0.000  0.00
S4 0.749 0.748 0.499  0.00
Er3 0.000 0.500 0.500  0.01
S5 0.255 0.752 0.997  -0.01
S6 0.742 0.752 0.997  -0.01
Ce1 0.000 0.500 0.000  0.86
S7 0.255 0.752 0.510  -0.01
S8 0.745 0.248 0.490  -0.01